[1]
Below is a relaxed MnCoPtRh crystal, with properties calculated at the GGA-PBE level.

a = 6.0844 Å, b = 6.0844 Å, c = 6.0844 Å
α = 90.00°, β = 90.00°, γ = 90.00°
Last column: nearest neighbours and their distance in Å.
Space group F-43m (No. 216)
Asymmetric unit:
Mn1 0.0000 0.0000 0.0000  4 Rh 2.63, 4 Pt 2.63
Co1 0.0000 0.0000 0.5000  4 Rh 2.63, 4 Pt 2.63
Pt1 0.2500 0.2500 0.2500  4 Co 2.63, 4 Mn 2.63
Rh1 0.2500 0.2500 0.7500  4 Mn 2.63, 4 Co 2.63

Properties
For the energy of formation from the pure elements, the calculation gives -0.021 eV per atom. The total energy comes out at -7.438 eV/atom. The theoretical density is 12.1 g/cm3.

---

[2]
Below is a relaxed ScMn2CoPt crystal, with properties calculated at the GGA-PBE level.

a = 4.2553 Å, b = 4.2553 Å, c = 4.7642 Å
α = 90.00°, β = 90.00°, γ = 90.00°
Last column: nearest neighbours and their distance in Å.
Space group P4/mmm (No. 123)
Asymmetric unit:
Sc1 0.0000 0.0000 0.0000  4 Mn 2.13, 2 Pt 2.38
Mn1 0.0000 0.5000 0.0000  2 Sc 2.13
Co1 0.5000 0.5000 0.5000  4 Pt 3.01, 8 Mn 3.19
Pt1 0.0000 0.0000 0.5000  2 Sc 2.38

Properties
For the energy of formation from the pure elements, the calculation gives 1.749 eV per atom. The total energy comes out at -5.815 eV/atom. The theoretical density is 7.9 g/cm3.